Pr2TmN3 after structural relaxation, computed with PBE-GGA.

Lattice parameters (Å, degrees): 3.576 3.576 8.784 90.00 90.00 120.00
Positions (direct):
1 Pr 0.333 0.667 0.326
2 Pr 0.667 0.333 0.674
3 Tm 0.000 0.000 0.000
4 N 0.000 0.000 0.500
5 N 0.333 0.667 0.849
6 N 0.667 0.333 0.151

E   -7.921 eV per atom



PrUN2 after structural relaxation, computed with PBE-GGA.

Lattice parameters (Å, degrees): 6.172 6.172 6.172 33.13 33.13 33.13
Positions (direct):
1 Pr 0.000 0.000 0.000
2 U 0.500 0.500 0.500
3 N 0.234 0.234 0.234
4 N 0.766 0.766 0.766

E   -9.545 eV per atom



> What is the formula in the second record?

PrUN2